P:
# K2CaHg2

A geometry-optimized K2CaHg2 structure (PBE, Alexandria via LeMat-Bulk).

Lattice parameters (Å, degrees): 8.2872 8.2872 5.6343 90.00 90.00 90.00
Atoms (fractional coordinates):
K: 0.8302 0.3302 0.5000
K: 0.3302 0.1698 0.5000
K: 0.6698 0.8302 0.5000
K: 0.1698 0.6698 0.5000
Hg: 0.1307 0.3693 0.0000
Hg: 0.3693 0.8693 0.0000
Hg: 0.8693 0.6307 0.0000
Hg: 0.6307 0.1307 0.0000
Ca: 0.5000 0.5000 0.0000
Ca: 0.0000 0.0000 0.0000

## Properties
SG: P4/mbm, No. 127

Q:
# K2CaHg2

A geometry-optimized K2CaHg2 structure (PBE, Alexandria via LeMat-Bulk).

Lattice parameters (Å, degrees): 4.8995 4.8995 8.5608 73.37 73.37 90.00
Atoms (fractional coordinates):
Hg: 0.5915 0.5915 0.8171
Hg: 0.4085 0.4085 0.1829
K: 0.2500 0.7500 0.5000
K: 0.7500 0.2500 0.5000
Ca: 0.0000 0.0000 0.0000

## Properties
SG: I4/mmm, No. 139

Here are the energies relative to the best structure, in meV/atom: P 0; Q 125.